--- 1 ---
## Pr3DyTl4 (PBE)

Data for a geometry-optimized Pr3DyTl4 structure.

Output
SG: P4/mmm
density of states at the Fermi level: 6.15 states/eV/cell
total magnetization: 0.000 μB/atom

Cell: 3.871 3.871 15.806 Å, 90.00 90.00 90.00°
Fractional positions:
Pr  0.500  0.500  0.244
Pr  0.500  0.500  0.500
Pr  0.500  0.500  0.756
Tl  0.000  0.000  0.886
Tl  0.000  0.000  0.114
Tl  0.000  0.000  0.372
Tl  0.000  0.000  0.628
Dy  0.500  0.500  0.000

--- 2 ---
## Pr3DyTl4 (PBE)

Data for a geometry-optimized Pr3DyTl4 structure.

Output
SG: Immm
density of states at the Fermi level: 6.98 states/eV/cell
total magnetization: 0.030 μB/atom

Cell: 3.767 7.389 10.167 Å, 111.31 100.67 90.00°
Last column: magnetic moment on the atom in μB.
Fractional positions:
Pr  0.000  0.500  0.000  -0.01
Pr  0.216  0.216  0.432  0.00
Pr  0.784  0.784  0.568  0.00
Dy  0.500  0.000  0.000  0.15
Tl  0.374  0.589  0.749  0.00
Tl  0.626  0.411  0.251  0.00
Tl  0.626  0.840  0.251  0.00
Tl  0.374  0.160  0.749  0.00

Q: Which of them is the most stable? A: 1.

--- 1 ---
## PrDy3Tl (PBE)

Data for a geometry-optimized PrDy3Tl structure.

Output
SG: Pnma
density of states at the Fermi level: 20.55 states/eV/cell
total magnetization: 0.000 μB/atom

Cell: 5.441 10.510 11.087 Å, 90.00 90.00 90.00°
Fractional positions:
Pr  0.750  0.781  0.016
Pr  0.250  0.719  0.516
Pr  0.750  0.281  0.484
Pr  0.250  0.219  0.984
Dy  0.250  0.595  0.108
Dy  0.750  0.405  0.892
Dy  0.250  0.095  0.392
Dy  0.750  0.905  0.608
Dy  0.250  0.359  0.650
Dy  0.750  0.141  0.150
Dy  0.250  0.859  0.850
Dy  0.750  0.596  0.670
Dy  0.250  0.404  0.330
Dy  0.750  0.096  0.830
Dy  0.750  0.641  0.350
Dy  0.250  0.904  0.170
Tl  0.250  0.069  0.665
Tl  0.250  0.569  0.835
Tl  0.750  0.431  0.165
Tl  0.750  0.931  0.335

--- 2 ---
## PrDy3Tl (PBE)

Data for a geometry-optimized PrDy3Tl structure.

Output
SG: Cmcm
density of states at the Fermi level: 14.33 states/eV/cell
total magnetization: 0.000 μB/atom

Cell: 4.898 4.855 13.013 Å, 90.00 79.15 90.00°
Fractional positions:
Pr  0.472  0.750  0.705
Pr  0.177  0.250  0.295
Dy  0.773  0.250  0.102
Dy  0.371  0.250  0.907
Dy  0.575  0.250  0.499
Dy  0.278  0.750  0.093
Dy  0.875  0.750  0.898
Dy  0.074  0.750  0.501
Tl  0.670  0.750  0.309
Tl  0.979  0.250  0.691

Q: Which of them is the most stable? A: 2.

--- 1 ---
## Pr3Dy2Tl4 (PBE)

Data for a geometry-optimized Pr3Dy2Tl4 structure.

Output
SG: P-3m1
density of states at the Fermi level: 8.86 states/eV/cell
total magnetization: 0.000 μB/atom

Cell: 5.422 5.423 10.581 Å, 89.99 90.00 60.01°
Fractional positions:
Pr  0.333  0.334  0.420
Pr  0.000  0.000  0.000
Pr  0.667  0.666  0.580
Dy  0.333  0.333  0.780
Dy  0.667  0.667  0.220
Tl  0.667  0.666  0.899
Tl  0.000  0.000  0.342
Tl  0.000  0.000  0.658
Tl  0.333  0.334  0.101

--- 2 ---
## Pr3Dy2Tl4 (PBE)

Data for a geometry-optimized Pr3Dy2Tl4 structure.

Output
SG: C2/c
density of states at the Fermi level: 18.84 states/eV/cell
total magnetization: 0.000 μB/atom

Cell: 6.319 9.602 9.602 Å, 70.50 86.18 86.18°
Fractional positions:
Pr  0.086  0.012  0.211
Pr  0.414  0.789  0.988
Pr  0.914  0.988  0.789
Pr  0.586  0.211  0.012
Pr  0.250  0.540  0.460
Pr  0.750  0.460  0.540
Dy  0.635  0.153  0.403
Dy  0.865  0.597  0.847
Dy  0.365  0.847  0.597
Dy  0.135  0.403  0.153
Tl  0.562  0.861  0.281
Tl  0.938  0.719  0.139
Tl  0.438  0.139  0.719
Tl  0.062  0.281  0.861
Tl  0.120  0.194  0.470
Tl  0.380  0.530  0.806
Tl  0.880  0.806  0.530
Tl  0.620  0.470  0.194

Q: Which of them is the most stable? A: 1.

--- 1 ---
## Pr2Dy2Tl (PBE)

Data for a geometry-optimized Pr2Dy2Tl structure.

Output
SG: Cmc2_1
density of states at the Fermi level: 10.51 states/eV/cell
total magnetization: 0.000 μB/atom

Cell: 5.208 6.879 9.012 Å, 90.00 106.79 90.00°
Fractional positions:
Pr  0.003  0.823  0.006
Pr  0.801  0.321  0.602
Pr  0.199  0.821  0.398
Pr  0.997  0.323  0.994
Dy  0.392  0.577  0.783
Dy  0.807  0.840  0.614
Dy  0.193  0.340  0.386
Dy  0.608  0.077  0.217
Tl  0.397  0.073  0.795
Tl  0.603  0.573  0.205

--- 2 ---
## Pr2Dy2Tl (PBE)

Data for a geometry-optimized Pr2Dy2Tl structure.

Output
SG: P6_3/mmc
density of states at the Fermi level: 16.98 states/eV/cell
total magnetization: 0.000 μB/atom

Cell: 5.518 5.518 12.293 Å, 90.00 90.00 120.00°
Fractional positions:
Pr  0.333  0.667  0.586
Pr  0.667  0.333  0.086
Pr  0.667  0.333  0.414
Pr  0.333  0.667  0.914
Dy  0.667  0.333  0.750
Dy  0.000  0.000  0.000
Dy  0.000  0.000  0.500
Dy  0.333  0.667  0.250
Tl  0.000  0.000  0.250
Tl  0.000  0.000  0.750

Q: Which of them is the most stable? A: 1.